Mn5Be2FeRe2: optimized geometry, PBE-GGA.

Cell: 8.6003 8.6003 2.9451 Å, 90.00 90.00 90.00°
Space group P4/mbm (No. 127)
Inequivalent atoms, fractional coordinates:
Mn 0.0000 0.5000 0.0000 x2
Mn 0.0660 0.2054 0.0000 x8
Be 0.1242 0.3758 0.5000 x4
Fe 0.0000 0.0000 0.5000 x2
Re 0.1743 0.6743 0.5000 x4

formation energy from the elements: 46 meV per atom
mass density: 10.992 g cm⁻³
magnetization: 2.07 Bohr magnetons per cell


MnBe2FeSi: optimized geometry, PBE-GGA.

Cell: 3.9968 3.9968 4.1785 Å, 90.00 90.00 90.00°
Space group P4/mmm (No. 123)
Inequivalent atoms, fractional coordinates:
Mn 0.0000 0.0000 0.0000 x1
Be 0.0000 0.5000 0.5000 x2
Fe 0.5000 0.5000 0.0000 x1
Si 0.5000 0.5000 0.5000 x1

formation energy from raw total energies: 1127.0 meV per atom
mass density: 3.903 g cm⁻³
magnetization: 1.65 Bohr magnetons per cell


Mn5BeFe2Tc2: optimized geometry, PBE-GGA.

Cell: 7.9500 7.9500 3.6922 Å, 90.00 90.00 90.00°
Space group P4/mbm (No. 127)
Inequivalent atoms, fractional coordinates:
Mn 0.0000 0.5000 0.0000 x2
Mn 0.0699 0.1917 0.0000 x8
Be 0.0000 0.0000 0.5000 x2
Fe 0.1348 0.3652 0.5000 x4
Tc 0.1616 0.6616 0.5000 x4

formation energy from the elements: 184 meV per atom
mass density: 8.417 g cm⁻³
magnetization: 0.01 Bohr magnetons per cell


MnBe2Fe5Tc2: optimized geometry, PBE-GGA.

Cell: 8.6478 8.6478 2.8630 Å, 90.00 90.00 90.00°
Space group P4/mbm (No. 127)
Inequivalent atoms, fractional coordinates:
Mn 0.0000 0.0000 0.0000 x2
Be 0.1243 0.3757 0.0000 x4
Fe 0.0000 0.5000 0.5000 x2
Fe 0.0592 0.2056 0.5000 x8
Tc 0.1771 0.6771 0.0000 x4

formation energy from the elements: 70 meV per atom
mass density: 8.503 g cm⁻³
magnetization: 7.84 Bohr magnetons per cell


TiMnBeFe: optimized geometry, PBE-GGA.

Cell: 5.6984 5.6984 5.6984 Å, 90.00 90.00 90.00°
Space group F-43m (No. 216)
Inequivalent atoms, fractional coordinates:
Ti 0.0000 0.0000 0.0000 x4
Mn 0.2500 0.2500 0.2500 x4
Be 0.0000 0.0000 0.5000 x4
Fe 0.2500 0.2500 0.7500 x4

formation energy from the elements: -152 meV per atom
mass density: 6.018 g cm⁻³
magnetization: 11.54 Bohr magnetons per cell


Mn5Be2FeW2: optimized geometry, PBE-GGA.

Cell: 8.6089 8.6089 3.0249 Å, 90.00 90.00 90.00°
Space group P4/mbm (No. 127)
Inequivalent atoms, fractional coordinates:
Mn 0.0000 0.5000 0.0000 x2
Mn 0.0666 0.2060 0.0000 x8
Be 0.1232 0.3768 0.5000 x4
Fe 0.0000 0.0000 0.5000 x2
W 0.1742 0.6742 0.5000 x4

formation energy from the elements: 35 meV per atom
mass density: 10.611 g cm⁻³
magnetization: 10.59 Bohr magnetons per cell


MnBeFeW: optimized geometry, PBE-GGA.

Cell: 5.6949 5.6949 5.6949 Å, 90.00 90.00 90.00°
Space group F-43m (No. 216)
Inequivalent atoms, fractional coordinates:
Mn 0.0000 0.0000 0.0000 x4
Be 0.2500 0.2500 0.7500 x4
Fe 0.0000 0.0000 0.5000 x4
W 0.2500 0.2500 0.2500 x4

formation energy from the elements: -28 meV per atom
mass density: 10.919 g cm⁻³
magnetization: 3.58 Bohr magnetons per cell


BeFe2Mo: optimized geometry, PBE-GGA.

Cell: 6.4272 6.4272 4.6611 Å, 90.00 90.00 90.00°
Space group I-42d (No. 122)
Inequivalent atoms, fractional coordinates:
Be 0.0000 0.0000 0.0000 x4
Fe 0.1941 0.2500 0.1250 x8
Mo 0.0000 0.0000 0.5000 x4

formation energy from the elements: 534 meV per atom
mass density: 7.474 g cm⁻³
magnetization: 14.27 Bohr magnetons per cell


BeFeMo2: optimized geometry, PBE-GGA.

Cell: 3.1217 3.1217 5.3824 Å, 90.00 90.00 90.00°
Space group P4mm (No. 99)
Inequivalent atoms, fractional coordinates:
Be 0.0000 0.0000 0.0000 x1
Fe 0.5000 0.5000 0.2076 x1
Mo 0.0000 0.0000 0.4850 x1
Mo 0.5000 0.5000 0.7625 x1

formation energy from the elements: 102 meV per atom
mass density: 8.128 g cm⁻³
magnetization: 1.69 Bohr magnetons per cell


BeFeMo3: optimized geometry, PBE-GGA.

Cell: 4.4221 4.4221 4.4221 Å, 90.00 90.00 90.00°
Space group Pm-3m (No. 221)
Inequivalent atoms, fractional coordinates:
Be 0.0000 0.0000 0.0000 x1
Fe 0.5000 0.5000 0.5000 x1
Mo 0.0000 0.5000 0.5000 x3

formation energy from the elements: 1356 meV per atom
mass density: 6.772 g cm⁻³
magnetization: 0.00 Bohr magnetons per cell


BeFe3Mo: optimized geometry, PBE-GGA.

Cell: 3.8147 3.8147 3.8147 Å, 90.00 90.00 90.00°
Space group Pm-3m (No. 221)
Inequivalent atoms, fractional coordinates:
Be 0.0000 0.0000 0.0000 x1
Fe 0.0000 0.0000 0.5000 x3
Mo 0.5000 0.5000 0.5000 x1

formation energy from the elements: 476 meV per atom
mass density: 8.151 g cm⁻³
magnetization: 0.00 Bohr magnetons per cell


BeFeMo2: optimized geometry, PBE-GGA.

Cell: 3.1394 4.1749 7.9987 Å, 90.00 90.00 90.00°
Space group Imm2 (No. 44)
Inequivalent atoms, fractional coordinates:
Be 0.0000 0.0000 0.0000 x2
Fe 0.0000 0.5000 0.2721 x2
Mo 0.0000 0.0000 0.5233 x2
Mo 0.0000 0.5000 0.7656 x2

formation energy from the elements: 139 meV per atom
mass density: 8.133 g cm⁻³
magnetization: 3.85 Bohr magnetons per cell